DFT (GGA-PBE) results for a relaxed Co2IrSe crystal.

Results
ΔE_f (raw) ... 1.7 eV per formula unit
Total DFT energy (no corrections) ... -24.9 eV for the cell shown

Unit cell a=2.9378 b=4.2610 c=4.3998 alpha=90.00 beta=90.00 gamma=90.00
Last column: nearest neighbours and their distance in Å.
Space group Pmmm (No. 47)
Unique sites:
1 Co 0.0000 0.0000 0.0000 (multiplicity 1)  4 Se 2.59, 4 Co 2.65
2 Co 0.5000 0.0000 0.5000 (multiplicity 1)  4 Ir 2.59, 4 Co 2.65
3 Ir 0.0000 0.5000 0.5000 (multiplicity 1)  4 Co 2.59, 4 Se 2.65
4 Se 0.5000 0.5000 0.0000 (multiplicity 1)  4 Co 2.59, 4 Ir 2.65